<1>
5
Lattice="-0.724 -0.468 6.605 -6.258 -2.122 -0.836 2.267 -6.599 -0.219" Properties=species:S:1:pos:R:3 comment="CsK2RbAs, relaxed, DFT GGA-PBE" spacegroup="P4/mmm, No. 123" dos_ef_per_ev_atom=0.716 magnetic_moment_mub_per_fu=0.00 pbc="T T T"
As 0.000 0.000 0.000
Cs -2.358 -4.594 2.775
K -0.362 -0.234 3.302
Rb 1.133 -3.300 -0.110
K -3.129 -1.061 -0.418

---

<2>
5
Lattice="6.642 0.000 0.000 0.000 6.642 0.000 0.000 0.000 7.208" Properties=species:S:1:pos:R:3 comment="CsK2RbAs, relaxed, DFT GGA-PBE" spacegroup="P4/mmm, No. 123" dos_ef_per_ev_atom=0.962 magnetic_moment_mub_per_fu=0.62 pbc="T T T"
K 0.000 3.321 0.000
Rb 3.321 3.321 3.604
K 3.321 0.000 0.000
Cs 0.000 0.000 3.604
As 0.000 0.000 0.000

---

The calculated energies rank the structures as follows, beginning with the most stable: <1>, <2>.